Density functional theory data (PBE) for a geometry-optimized CaNd3Sb3 structure.

abc: 9.523 9.523 9.523
angles: 90.00 90.00 90.00
Space group P2_13 (No. 198)
Inequivalent atoms, fractional coordinates:
1 Ca 0.071 0.429 0.571 x4
2 Nd 0.072 0.572 0.928 x4
3 Nd 0.178 0.178 0.178 x4
4 Nd 0.181 0.819 0.319 x4
5 Sb 0.001 0.750 0.623 x12

Computed properties:
N(E_F)   1.082 states/eV per atom
Energy relative to the lowest polymorph listed for this composition   0 meV/atom
Calculated total energy   -5.14 eV/atom



Density functional theory data (PBE) for a geometry-optimized CaNd2SmSb4 structure.

abc: 7.816 4.502 7.846
angles: 90.00 109.36 90.00
Space group P2/m (No. 10)
Inequivalent atoms, fractional coordinates:
1 Ca 0.000 0.000 0.000 x1
2 Nd 0.500 0.000 0.500 x1
3 Nd 0.500 0.500 0.000 x1
4 Sm 0.000 0.500 0.500 x1
5 Sb 0.248 0.000 0.748 x2
6 Sb 0.250 0.500 0.252 x2

Computed properties:
N(E_F)   0.549 states/eV per atom
Calculated total energy   -5.16 eV/atom



Density functional theory data (PBE) for a geometry-optimized Ca3NdTh2Sb6 structure.

abc: 7.898 13.672 7.803
angles: 90.00 109.69 90.00
Space group C2/m (No. 12)
Inequivalent atoms, fractional coordinates:
1 Ca 0.000 0.000 0.000 x2
2 Ca 0.000 0.334 0.000 x4
3 Nd 0.000 0.500 0.500 x2
4 Th 0.000 0.167 0.500 x4
5 Sb 0.246 0.000 0.745 x4
6 Sb 0.250 0.168 0.254 x8

Computed properties:
N(E_F)   0.588 states/eV per atom
Calculated total energy   -5.17 eV/atom



Density functional theory data (PBE) for a geometry-optimized CaNdTh2Sb4 structure.

abc: 7.811 4.525 7.840
angles: 90.00 109.52 90.00
Space group P2/m (No. 10)
Inequivalent atoms, fractional coordinates:
1 Ca 0.000 0.000 0.000 x1
2 Nd 0.000 0.500 0.500 x1
3 Th 0.500 0.000 0.500 x1
4 Th 0.500 0.500 0.000 x1
5 Sb 0.251 0.000 0.751 x2
6 Sb 0.253 0.500 0.251 x2

Computed properties:
N(E_F)   0.233 states/eV per atom
Calculated total energy   -5.80 eV/atom



Density functional theory data (PBE) for a geometry-optimized CaNd2TmSb4 structure.

abc: 7.709 4.473 7.816
angles: 90.00 109.41 90.00
Space group P2/m (No. 10)
Inequivalent atoms, fractional coordinates:
1 Ca 0.000 0.000 0.000 x1
2 Nd 0.500 0.000 0.500 x1
3 Nd 0.500 0.500 0.000 x1
4 Tm 0.000 0.500 0.500 x1
5 Sb 0.241 0.000 0.742 x2
6 Sb 0.246 0.500 0.255 x2

Computed properties:
N(E_F)   0.518 states/eV per atom
Calculated total energy   -5.10 eV/atom



Density functional theory data (PBE) for a geometry-optimized CaNdY2Sb4 structure.

abc: 7.716 4.438 7.768
angles: 90.00 109.18 90.00
Space group P2/m (No. 10)
Inequivalent atoms, fractional coordinates:
1 Ca 0.000 0.000 0.000 x1
2 Nd 0.500 0.500 0.000 x1
3 Y 0.000 0.500 0.500 x1
4 Y 0.500 0.000 0.500 x1
5 Sb 0.247 0.000 0.741 x2
6 Sb 0.254 0.500 0.260 x2

Computed properties:
N(E_F)   0.463 states/eV per atom
Calculated total energy   -5.59 eV/atom



Density functional theory data (PBE) for a geometry-optimized CaNd2YSb4 structure.

abc: 7.754 4.481 7.831
angles: 90.00 109.36 90.00
Space group P2/m (No. 10)
Inequivalent atoms, fractional coordinates:
1 Ca 0.000 0.000 0.000 x1
2 Nd 0.500 0.000 0.500 x1
3 Nd 0.500 0.500 0.000 x1
4 Y 0.000 0.500 0.500 x1
5 Sb 0.244 0.000 0.744 x2
6 Sb 0.248 0.500 0.254 x2

Computed properties:
N(E_F)   0.524 states/eV per atom
Calculated total energy   -5.37 eV/atom



Density functional theory data (PBE) for a geometry-optimized CaNdSc2 structure.

abc: 3.539 3.539 9.833
angles: 90.00 90.00 90.00
Space group P4/mmm (No. 123)
Inequivalent atoms, fractional coordinates:
1 Ca 0.000 0.000 0.000 x1
2 Nd 0.000 0.000 0.500 x1
3 Sc 0.500 0.500 0.268 x2

Computed properties:
N(E_F)   1.805 states/eV per atom
ΔH_f (0 K)   0.151 eV per atom
Energy relative to the lowest polymorph listed for this composition   2 meV/atom
Calculated total energy   -4.71 eV/atom



Density functional theory data (PBE) for a geometry-optimized CaNd6Sc2 structure.

abc: 6.0786 6.0786 11.3263
angles: 90.00 90.00 120.00
Space group P-31m (No. 162)
Inequivalent atoms, fractional coordinates:
1 Ca 0.0000 0.0000 0.0000 x1
2 Nd 0.0000 0.3262 0.2744 x6
3 Sc 0.3333 0.6667 0.5000 x2

Computed properties:
N(E_F)   1.478 states/eV per atom
ΔH_f (0 K)   0.496 eV per atom
Calculated total energy   -4.31 eV/atom



Density functional theory data (PBE) for a geometry-optimized CaNdSc structure.

abc: 3.5766 3.5766 8.8636
angles: 90.00 90.00 120.00
Space group P3m1 (No. 156)
Inequivalent atoms, fractional coordinates:
1 Ca 0.0000 0.0000 0.0000 x1
2 Nd 0.3333 0.6667 0.6304 x1
3 Sc 0.6667 0.3333 0.3324 x1

Computed properties:
N(E_F)   1.324 states/eV per atom
ΔH_f (0 K)   0.117 eV per atom
Energy relative to the lowest polymorph listed for this composition   13 meV/atom
Calculated total energy   -4.25 eV/atom



Density functional theory data (PBE) for a geometry-optimized CaNdSc2 structure.

abc: 4.986 4.986 4.860
angles: 90.00 90.00 90.00
Space group P4/mmm (No. 123)
Inequivalent atoms, fractional coordinates:
1 Ca 0.000 0.000 0.000 x1
2 Nd 0.500 0.500 0.000 x1
3 Sc 0.000 0.500 0.500 x2

Computed properties:
N(E_F)   2.092 states/eV per atom
ΔH_f (0 K)   0.197 eV per atom
Energy relative to the lowest polymorph listed for this composition   48 meV/atom
Calculated total energy   -4.66 eV/atom



Density functional theory data (PBE) for a geometry-optimized CaNdSc structure.

abc: 3.543 5.582 9.977
angles: 90.00 90.10 90.00
Space group P2_1/m (No. 11)
Inequivalent atoms, fractional coordinates:
1 Ca 0.249 0.250 0.110 x2
2 Nd 0.250 0.250 0.727 x2
3 Sc 0.251 0.750 0.556 x2

Computed properties:
N(E_F)   1.639 states/eV per atom
ΔH_f (0 K)   0.112 eV per atom
Energy relative to the lowest polymorph listed for this composition   8 meV/atom
Calculated total energy   -4.26 eV/atom



Density functional theory data (PBE) for a geometry-optimized CaNdSc2 structure.

abc: 3.4885 3.4885 34.3684
angles: 90.00 90.00 120.00
Space group R3m (No. 160, hexagonal axes)
Inequivalent atoms, fractional coordinates:
1 Ca 0.0000 0.0000 0.0000 x3
2 Nd 0.0000 0.0000 0.1662 x3
3 Sc 0.0000 0.0000 0.5795 x3
4 Sc 0.0000 0.0000 0.7534 x3

Computed properties:
N(E_F)   1.655 states/eV per atom
ΔH_f (0 K)   0.150 eV per atom
Energy relative to the lowest polymorph listed for this composition   0 meV/atom
Calculated total energy   -4.71 eV/atom



Density functional theory data (PBE) for a geometry-optimized CaNdSc structure.

abc: 3.633 3.633 14.982
angles: 90.00 90.00 90.00
Space group I4mm (No. 107)
Inequivalent atoms, fractional coordinates:
1 Ca 0.000 0.000 0.000 x2
2 Nd 0.000 0.000 0.688 x2
3 Sc 0.000 0.000 0.332 x2

Computed properties:
N(E_F)   1.829 states/eV per atom
ΔH_f (0 K)   0.104 eV per atom
Energy relative to the lowest polymorph listed for this composition   0 meV/atom
Calculated total energy   -4.26 eV/atom



Density functional theory data (PBE) for a geometry-optimized CaNdSc2 structure.

abc: 3.4984 3.4984 34.4055
angles: 90.00 90.00 120.00
Space group R-3m (No. 166, hexagonal axes)
Inequivalent atoms, fractional coordinates:
1 Ca 0.0000 0.0000 0.0000 x3
2 Nd 0.0000 0.0000 0.5000 x3
3 Sc 0.0000 0.0000 0.2462 x6

Computed properties:
N(E_F)   1.698 states/eV per atom
ΔH_f (0 K)   0.155 eV per atom
Energy relative to the lowest polymorph listed for this composition   6 meV/atom
Calculated total energy   -4.70 eV/atom



Density functional theory data (PBE) for a geometry-optimized CaNdSc2 structure.

abc: 7.842 7.842 7.842
angles: 90.00 90.00 90.00
Space group Fm-3m (No. 225)
Inequivalent atoms, fractional coordinates:
1 Ca 0.000 0.000 0.000 x4
2 Nd 0.000 0.000 0.500 x4
3 Sc 0.250 0.250 0.250 x8

Computed properties:
N(E_F)   1.578 states/eV per atom
ΔH_f (0 K)   0.196 eV per atom
Energy relative to the lowest polymorph listed for this composition   46 meV/atom
Calculated total energy   -4.66 eV/atom



Density functional theory data (PBE) for a geometry-optimized Ca3Nd3ScSe8 structure.

abc: 8.3311 8.3311 20.7161
angles: 90.00 90.00 120.00
Space group R-3m (No. 166, hexagonal axes)
Inequivalent atoms, fractional coordinates:
1 Ca 0.0000 0.5000 0.0000 x9
2 Nd 0.0000 0.5000 0.5000 x9
3 Sc 0.0000 0.0000 0.5000 x3
4 Se 0.0000 0.0000 0.2522 x6
5 Se 0.0196 0.5098 0.2460 x18

Computed properties:
N(E_F)   0.315 states/eV per atom
Calculated total energy   -5.53 eV/atom



Density functional theory data (PBE) for a geometry-optimized Ca2NdScSe4 structure.

abc: 7.107 4.103 7.235
angles: 90.00 109.11 90.00
Space group P2/m (No. 10)
Inequivalent atoms, fractional coordinates:
1 Ca 0.000 0.000 0.000 x1
2 Ca 0.500 0.500 0.000 x1
3 Nd 0.000 0.500 0.500 x1
4 Sc 0.500 0.000 0.500 x1
5 Se 0.263 0.000 0.749 x2
6 Se 0.266 0.500 0.260 x2

Computed properties:
N(E_F)   0.464 states/eV per atom
Calculated total energy   -5.45 eV/atom



Density functional theory data (PBE) for a geometry-optimized CaNd2ScSe4 structure.

abc: 7.119 4.093 7.231
angles: 90.00 108.86 90.00
Space group P2/m (No. 10)
Inequivalent atoms, fractional coordinates:
1 Ca 0.000 0.000 0.000 x1
2 Nd 0.000 0.500 0.500 x1
3 Nd 0.500 0.000 0.500 x1
4 Sc 0.500 0.500 0.000 x1
5 Se 0.253 0.500 0.234 x2
6 Se 0.265 0.000 0.772 x2

Computed properties:
N(E_F)   0.479 states/eV per atom
Calculated total energy   -5.76 eV/atom



Density functional theory data (PBE) for a geometry-optimized CaNd2ScTe4 structure.

abc: 7.598 4.364 7.738
angles: 90.00 108.79 90.00
Space group P2/m (No. 10)
Inequivalent atoms, fractional coordinates:
1 Ca 0.000 0.000 0.000 x1
2 Nd 0.000 0.500 0.500 x1
3 Nd 0.500 0.000 0.500 x1
4 Sc 0.500 0.500 0.000 x1
5 Te 0.254 0.500 0.236 x2
6 Te 0.264 0.000 0.770 x2

Computed properties:
N(E_F)   0.569 states/eV per atom
Calculated total energy   -5.17 eV/atom



| no. | mass density (g/cm³) | magnetic moment (μB per cell) |
| --- | --- | --- |
| 1 | 6.45 | 0.00 |
| 2 | 6.16 | 0.00 |
| 3 | 6.11 | 0.00 |
| 4 | 7.22 | 0.00 |
| 5 | 6.43 | 0.00 |
| 6 | 5.61 | 0.00 |
| 7 | 5.85 | 0.00 |
| 8 | 3.70 | 0.24 |
| 9 | 4.56 | 0.00 |
| 10 | 3.88 | 0.00 |
| 11 | 3.77 | 0.01 |
| 12 | 3.86 | 0.00 |
| 13 | 3.77 | 0.01 |
| 14 | 3.85 | 0.00 |
| 15 | 3.75 | 0.00 |
| 16 | 3.78 | 0.00 |
| 17 | 4.92 | 0.00 |
| 18 | 4.88 | 0.00 |
| 19 | 5.74 | 0.00 |
| 20 | 6.04 | 0.00 |